No. 1
First-principles (GGA-PBE) data for a relaxed NbHgBi3 crystal, as listed in Alexandria.

a b c (Å): 5.616 5.616 5.616
angles (deg): 90.00 90.00 90.00
Element x y z (fractional)
Nb 0.000 0.000 0.000
Hg 0.500 0.500 0.500
Bi 0.000 0.500 0.500
Bi 0.500 0.000 0.500
Bi 0.500 0.500 0.000

## Properties
Energy relative to the elements = 1270 meV per atom
Relative energy among the computed polymorphs = 920.6 meV per atom
Density of states at the Fermi level = 5.564 states/eV/f.u.
Crystal system = cubic
Space-group type = Pm-3m

***

No. 2
First-principles (GGA-PBE) data for a relaxed LaTl2P2Pt7 crystal, as listed in Alexandria.

a b c (Å): 4.073 4.073 14.374
angles (deg): 93.70 93.70 89.96
Element x y z (fractional)
La 0.000 0.000 0.000
Tl 0.084 0.084 0.400
Tl 0.916 0.916 0.600
P 0.442 0.442 0.751
P 0.558 0.558 0.249
Pt 0.039 0.538 0.163
Pt 0.429 0.429 0.592
Pt 0.462 0.961 0.837
Pt 0.500 0.500 0.000
Pt 0.538 0.039 0.163
Pt 0.571 0.571 0.408
Pt 0.961 0.462 0.837

## Properties
Energy relative to the elements = -504 meV per atom
Density of states at the Fermi level = 5.805 states/eV/f.u.
Crystal system = monoclinic
Space-group type = C2/m